# 1
{
  "formula": "TaCu2Tc",
  "functional": "GGA-PBE",
  "state": "optimized geometry",
  "cell": [[-1.841, 1.847, 4.151], [1.841, -1.847, 4.151], [1.841, 1.847, -4.151]],
  "species": ["Ta", "Cu", "Cu", "Tc"],
  "fractional_positions": [[0.000, 0.000, 0.000], [0.250, 0.750, 0.500], [0.750, 0.250, 0.500], [0.500, 0.500, 0.000]],
  "energy_ev_per_fu": -30.4,
  "polymorph_energy_kj_per_mol_fu": 3,
  "magmom_total_mub_per_cell": 0.000,
  "delta_e_f_ev_per_atom": 0.012,
  "space_group": "No. 71",
  "crystal_system": "orthorhombic"
}

---

# 2
{
  "formula": "TaCu2Tc",
  "functional": "GGA-PBE",
  "state": "optimized geometry",
  "cell": [[2.614, -4.012, 0.000], [2.614, 4.012, 0.000], [0.000, 0.000, 2.702]],
  "species": ["Ta", "Cu", "Cu", "Tc"],
  "fractional_positions": [[0.000, 0.000, 0.000], [0.000, 0.500, 0.500], [0.500, 0.000, 0.500], [0.500, 0.500, 0.000]],
  "energy_ev_per_fu": -29.9,
  "polymorph_energy_kj_per_mol_fu": 45,
  "magmom_total_mub_per_cell": 0.000,
  "delta_e_f_ev_per_atom": 0.122,
  "space_group": "No. 65",
  "crystal_system": "orthorhombic"
}

---

# 3
{
  "formula": "Ta2CuTc",
  "functional": "GGA-PBE",
  "state": "optimized geometry",
  "cell": [[1.624, -2.267, 0.000], [1.624, 2.267, 0.000], [0.000, 0.000, 8.670]],
  "species": ["Ta", "Ta", "Cu", "Tc"],
  "fractional_positions": [[0.000, 0.000, 0.249], [0.000, 0.000, 0.751], [0.500, 0.500, 0.000], [0.500, 0.500, 0.500]],
  "energy_ev_per_fu": -38.1,
  "magmom_total_mub_per_cell": 0.000,
  "delta_e_f_ev_per_atom": 0.010,
  "space_group": "No. 65",
  "crystal_system": "orthorhombic"
}

---

# 4
{
  "formula": "TaCuTc2",
  "functional": "GGA-PBE",
  "state": "optimized geometry",
  "cell": [[1.386, 0.800, 9.114], [-1.386, 0.800, 9.114], [0.000, -1.601, 9.114]],
  "species": ["Ta", "Cu", "Tc", "Tc"],
  "fractional_positions": [[0.000, 0.000, 0.000], [0.249, 0.249, 0.249], [0.501, 0.501, 0.501], [0.758, 0.758, 0.758]],
  "energy_ev_per_fu": -36.0,
  "polymorph_energy_kj_per_mol_fu": 70,
  "magmom_total_mub_per_cell": 0.000,
  "delta_e_f_ev_per_atom": 0.159,
  "space_group": "No. 160",
  "crystal_system": "trigonal"
}

---

# 5
{
  "formula": "Ta2CuTc",
  "functional": "GGA-PBE",
  "state": "optimized geometry",
  "cell": [[-3.532, 3.532, 2.739], [3.532, -3.532, 2.739], [3.532, 3.532, -2.739]],
  "species": ["Ta", "Ta", "Ta", "Ta", "Cu", "Cu", "Tc", "Tc"],
  "fractional_positions": [[0.117, 0.625, 0.992], [0.375, 0.367, 0.492], [0.633, 0.125, 0.008], [0.875, 0.883, 0.508], [0.250, 0.750, 0.500], [0.500, 0.500, 0.000], [0.000, 0.000, 0.000], [0.750, 0.250, 0.500]],
  "energy_ev_per_fu": -36.0,
  "magmom_total_mub_per_cell": 0.000,
  "delta_e_f_ev_per_atom": 0.534,
  "space_group": "No. 122",
  "crystal_system": "tetragonal"
}

---

# 6
{
  "formula": "TaCu2Tc",
  "functional": "GGA-PBE",
  "state": "optimized geometry",
  "cell": [[2.692, 0.000, 0.000], [0.000, 4.043, 0.000], [-0.041, 0.000, 5.210]],
  "species": ["Ta", "Cu", "Cu", "Tc"],
  "fractional_positions": [[0.000, 0.000, 0.000], [0.500, 0.500, 0.258], [0.500, 0.500, 0.742], [0.000, 0.000, 0.500]],
  "energy_ev_per_fu": -29.9,
  "polymorph_energy_kj_per_mol_fu": 44,
  "magmom_total_mub_per_cell": 0.000,
  "delta_e_f_ev_per_atom": 0.120,
  "space_group": "No. 10",
  "crystal_system": "monoclinic"
}

---

# 7
{
  "formula": "TaTiCuTc",
  "functional": "GGA-PBE",
  "state": "optimized geometry",
  "cell": [[0.000, 3.134, 3.134], [3.134, 0.000, 3.134], [3.134, 3.134, 0.000]],
  "species": ["Ta", "Ti", "Cu", "Tc"],
  "fractional_positions": [[0.000, 0.000, 0.000], [0.500, 0.500, 0.500], [0.750, 0.750, 0.750], [0.250, 0.250, 0.250]],
  "energy_ev_per_fu": -35.0,
  "magmom_total_mub_per_cell": 0.000,
  "delta_e_f_ev_per_atom": -0.192,
  "space_group": "No. 216",
  "crystal_system": "cubic"
}

---

# 8
{
  "formula": "TaCuTc2W",
  "functional": "GGA-PBE",
  "state": "optimized geometry",
  "cell": [[4.624, 0.000, 0.000], [0.000, 4.624, 0.000], [0.000, 0.000, 4.543]],
  "species": ["Ta", "Cu", "Tc", "Tc", "W"],
  "fractional_positions": [[0.000, 0.000, 0.000], [0.000, 0.000, 0.500], [0.000, 0.500, 0.000], [0.500, 0.000, 0.000], [0.500, 0.500, 0.500]],
  "energy_ev_per_fu": -39.4,
  "magmom_total_mub_per_cell": 0.001,
  "delta_e_f_ev_per_atom": 2.057,
  "space_group": "No. 123",
  "crystal_system": "tetragonal"
}

---

# 9
{
  "formula": "ZrTaCuTc",
  "functional": "GGA-PBE",
  "state": "optimized geometry",
  "cell": [[0.000, 3.229, 3.229], [3.229, 0.000, 3.229], [3.229, 3.229, 0.000]],
  "species": ["Zr", "Ta", "Cu", "Tc"],
  "fractional_positions": [[0.000, 0.000, 0.000], [0.500, 0.500, 0.500], [0.250, 0.250, 0.250], [0.750, 0.750, 0.750]],
  "energy_ev_per_fu": -35.4,
  "magmom_total_mub_per_cell": 0.000,
  "delta_e_f_ev_per_atom": -0.141,
  "space_group": "No. 216",
  "crystal_system": "cubic"
}

---

# 10
{
  "formula": "TaCuTe6",
  "functional": "GGA-PBE",
  "state": "optimized geometry",
  "cell": [[6.476, 0.000, 0.000], [3.178, 5.994, 0.000], [3.034, -1.117, 6.016]],
  "species": ["Ta", "Cu", "Te", "Te", "Te", "Te", "Te", "Te"],
  "fractional_positions": [[0.000, 0.000, 0.000], [0.000, 0.500, 0.500], [0.125, 0.580, 0.813], [0.181, 0.799, 0.290], [0.490, 0.098, 0.307], [0.510, 0.902, 0.693], [0.819, 0.201, 0.710], [0.875, 0.420, 0.187]],
  "energy_ev_per_fu": -34.8,
  "magmom_total_mub_per_cell": 0.000,
  "space_group": "No. 2",
  "crystal_system": "triclinic",
  "raw_formation_energy_ev_per_atom": -0.006
}

---

# 11
{
  "formula": "TaCuTe3",
  "functional": "GGA-PBE",
  "state": "optimized geometry",
  "cell": [[6.522, 0.000, 0.000], [0.000, 3.650, 0.000], [-1.657, 0.000, 11.154]],
  "species": ["Ta", "Ta", "Cu", "Cu", "Te", "Te", "Te", "Te", "Te", "Te"],
  "fractional_positions": [[0.157, 0.250, 0.458], [0.843, 0.750, 0.542], [0.451, 0.250, 0.850], [0.549, 0.750, 0.150], [0.071, 0.250, 0.699], [0.294, 0.250, 0.049], [0.446, 0.750, 0.376], [0.554, 0.250, 0.624], [0.706, 0.750, 0.951], [0.929, 0.750, 0.301]],
  "energy_ev_per_fu": -25.7,
  "polymorph_energy_kj_per_mol_fu": 0,
  "magmom_total_mub_per_cell": 0.000,
  "space_group": "No. 11",
  "crystal_system": "monoclinic",
  "raw_formation_energy_ev_per_atom": -0.060
}

---

# 12
{
  "formula": "TaCu2Te6",
  "functional": "GGA-PBE",
  "state": "optimized geometry",
  "cell": [[5.994, -6.253, 0.000], [5.994, 6.253, 0.000], [-0.351, 0.000, 6.898]],
  "species": ["Ta", "Ta", "Cu", "Cu", "Cu", "Cu", "Te", "Te", "Te", "Te", "Te", "Te", "Te", "Te", "Te", "Te", "Te", "Te"],
  "fractional_positions": [[0.079, 0.921, 0.750], [0.921, 0.079, 0.250], [0.191, 0.423, 0.796], [0.423, 0.191, 0.296], [0.577, 0.809, 0.704], [0.809, 0.577, 0.204], [0.018, 0.789, 0.377], [0.021, 0.370, 0.175], [0.211, 0.982, 0.123], [0.337, 0.444, 0.455], [0.370, 0.021, 0.675], [0.444, 0.337, 0.955], [0.556, 0.663, 0.045], [0.630, 0.979, 0.325], [0.663, 0.556, 0.545], [0.789, 0.018, 0.877], [0.979, 0.630, 0.825], [0.982, 0.211, 0.623]],
  "energy_ev_per_fu": -38.9,
  "magmom_total_mub_per_cell": 0.000,
  "space_group": "No. 15",
  "crystal_system": "monoclinic",
  "raw_formation_energy_ev_per_atom": 0.002
}

---

# 13
{
  "formula": "TaCuTe3",
  "functional": "GGA-PBE",
  "state": "optimized geometry",
  "cell": [[5.380, 0.000, 0.000], [0.000, 5.380, 0.000], [0.000, 0.000, 5.380]],
  "species": ["Ta", "Cu", "Te", "Te", "Te"],
  "fractional_positions": [[0.000, 0.000, 0.000], [0.500, 0.500, 0.500], [0.000, 0.000, 0.500], [0.000, 0.500, 0.000], [0.500, 0.000, 0.000]],
  "energy_ev_per_fu": -22.4,
  "polymorph_energy_kj_per_mol_fu": 312,
  "magmom_total_mub_per_cell": 0.000,
  "space_group": "No. 221",
  "crystal_system": "cubic",
  "raw_formation_energy_ev_per_atom": 0.586
}

---

# 14
{
  "formula": "Ta4CuTe",
  "functional": "GGA-PBE",
  "state": "optimized geometry",
  "cell": [[0.000, 3.896, 3.896], [3.896, 0.000, 3.896], [3.896, 3.896, 0.000]],
  "species": ["Ta", "Ta", "Ta", "Ta", "Cu", "Te"],
  "fractional_positions": [[0.377, 0.377, 0.377], [0.377, 0.377, 0.870], [0.377, 0.870, 0.377], [0.870, 0.377, 0.377], [0.750, 0.750, 0.750], [0.000, 0.000, 0.000]],
  "energy_ev_per_fu": -50.7,
  "magmom_total_mub_per_cell": 0.000,
  "space_group": "No. 216",
  "crystal_system": "cubic",
  "raw_formation_energy_ev_per_atom": 0.664
}

---

# 15
{
  "formula": "TaCu2Te8",
  "functional": "GGA-PBE",
  "state": "optimized geometry",
  "cell": [[5.685, -5.289, 0.000], [5.685, 5.289, 0.000], [-1.161, 0.000, 5.673]],
  "species": ["Ta", "Cu", "Cu", "Te", "Te", "Te", "Te", "Te", "Te", "Te", "Te"],
  "fractional_positions": [[0.000, 0.000, 0.000], [0.212, 0.212, 0.784], [0.788, 0.788, 0.216], [0.124, 0.726, 0.270], [0.222, 0.222, 0.262], [0.274, 0.876, 0.730], [0.435, 0.435, 0.771], [0.565, 0.565, 0.229], [0.726, 0.124, 0.270], [0.778, 0.778, 0.738], [0.876, 0.274, 0.730]],
  "energy_ev_per_fu": -45.1,
  "magmom_total_mub_per_cell": 0.000,
  "space_group": "No. 12",
  "crystal_system": "monoclinic",
  "raw_formation_energy_ev_per_atom": 0.003
}

---

# 16
{
  "formula": "TaCuTe3",
  "functional": "GGA-PBE",
  "state": "optimized geometry",
  "cell": [[4.988, 0.000, 0.000], [0.000, 4.988, 0.000], [0.000, 0.000, 4.988]],
  "species": ["Ta", "Cu", "Te", "Te", "Te"],
  "fractional_positions": [[0.000, 0.000, 0.000], [0.500, 0.500, 0.500], [0.000, 0.500, 0.500], [0.500, 0.000, 0.500], [0.500, 0.500, 0.000]],
  "energy_ev_per_fu": -20.4,
  "polymorph_energy_kj_per_mol_fu": 505,
  "magmom_total_mub_per_cell": 0.001,
  "space_group": "No. 221",
  "crystal_system": "cubic",
  "raw_formation_energy_ev_per_atom": 0.987
}

---

# 17
{
  "formula": "TaTl3Cu2Te6",
  "functional": "GGA-PBE",
  "state": "optimized geometry",
  "cell": [[3.645, -6.111, 0.000], [3.645, 6.111, 0.000], [-2.587, 0.000, 7.794]],
  "species": ["Ta", "Tl", "Tl", "Tl", "Cu", "Cu", "Te", "Te", "Te", "Te", "Te", "Te"],
  "fractional_positions": [[0.000, 0.000, 0.000], [0.157, 0.843, 0.500], [0.500, 0.500, 0.500], [0.843, 0.157, 0.500], [0.330, 0.670, 0.000], [0.670, 0.330, 0.000], [0.052, 0.389, 0.197], [0.280, 0.280, 0.823], [0.389, 0.052, 0.197], [0.611, 0.948, 0.803], [0.720, 0.720, 0.177], [0.948, 0.611, 0.803]],
  "energy_ev_per_fu": -47.3,
  "magmom_total_mub_per_cell": 0.000,
  "space_group": "No. 12",
  "crystal_system": "monoclinic",
  "raw_formation_energy_ev_per_atom": -0.111
}

---

# 18
{
  "formula": "Th2TaCu",
  "functional": "GGA-PBE",
  "state": "optimized geometry",
  "cell": [[1.616, 0.933, 10.835], [-1.616, 0.933, 10.835], [0.000, -1.866, 10.835]],
  "species": ["Th", "Th", "Ta", "Cu"],
  "fractional_positions": [[0.092, 0.092, 0.092], [0.908, 0.908, 0.908], [0.000, 0.000, 0.000], [0.500, 0.500, 0.500]],
  "energy_ev_per_fu": -28.2,
  "magmom_total_mub_per_cell": 0.000,
  "delta_e_f_ev_per_atom": 0.656,
  "space_group": "No. 166",
  "crystal_system": "trigonal"
}

---

# 19
{
  "formula": "ThTaCu",
  "functional": "GGA-PBE",
  "state": "optimized geometry",
  "cell": [[1.803, -9.252, 0.000], [1.803, 9.252, 0.000], [0.000, 0.000, 3.874]],
  "species": ["Th", "Th", "Ta", "Ta", "Cu", "Cu"],
  "fractional_positions": [[0.106, 0.894, 0.750], [0.894, 0.106, 0.250], [0.283, 0.717, 0.750], [0.717, 0.283, 0.250], [0.459, 0.541, 0.750], [0.541, 0.459, 0.250]],
  "energy_ev_per_fu": -23.0,
  "magmom_total_mub_per_cell": 0.000,
  "delta_e_f_ev_per_atom": 0.125,
  "space_group": "No. 63",
  "crystal_system": "orthorhombic"
}

---

# 20
{
  "formula": "TaTi2Cu2",
  "functional": "GGA-PBE",
  "state": "optimized geometry",
  "cell": [[7.259, 0.000, 0.000], [0.000, 7.259, 0.000], [0.000, 0.000, 2.907]],
  "species": ["Ta", "Ta", "Ti", "Ti", "Ti", "Ti", "Cu", "Cu", "Cu", "Cu"],
  "fractional_positions": [[0.000, 0.000, 0.000], [0.500, 0.500, 0.000], [0.177, 0.323, 0.500], [0.323, 0.823, 0.500], [0.677, 0.177, 0.500], [0.823, 0.677, 0.500], [0.120, 0.620, 0.000], [0.380, 0.120, 0.000], [0.620, 0.880, 0.000], [0.880, 0.380, 0.000]],
  "energy_ev_per_fu": -35.6,
  "polymorph_energy_kj_per_mol_fu": 13,
  "magmom_total_mub_per_cell": 0.000,
  "delta_e_f_ev_per_atom": 0.045,
  "space_group": "No. 127",
  "crystal_system": "tetragonal"
}